# PBEsol CaTlRh2, optimized geometry
data_CaTlRh2
_cell_length_a 4.5574
_cell_length_b 4.5574
_cell_length_c 3.3617
_cell_angle_alpha 90.00
_cell_angle_beta 90.00
_cell_angle_gamma 90.00
_symmetry_space_group_name_H-M 'P 4/m m m'
_symmetry_Int_Tables_number 123
_symmetry_space_group_name_Hall '-P 4 2'
loop_
_atom_site_label
_atom_site_type_symbol
_atom_site_fract_x
_atom_site_fract_y
_atom_site_fract_z
Ca1 Ca 0.0000 0.0000 0.0000
Tl1 Tl 0.5000 0.5000 0.0000
Rh1 Rh 0.0000 0.5000 0.5000
# density of states at the Fermi level = 0.42 states/eV/atom
# formation energy from the elements = -0.78 eV per formula unit
# size of the total moment = 0.0 μB per formula unit
# VASP energy = -5.455 eV/atom